1.
Entry from the Alexandria database: a relaxed structure of K2Cu2PbBr6 (GGA-PBE).

Computed properties:
The raw total energy comes out at -3.1519 eV per atom.

a b c (Å): 13.4714 7.9443 8.0728
angles (deg): 90.00 120.15 90.00
Space group C2/m (No. 12)
Asymmetric unit:
K 0.2334 0.0000 0.1997 (multiplicity 4)
Cu 0.0407 0.5000 0.1910 (multiplicity 4)
Pb 0.0000 0.0000 0.5000 (multiplicity 2)
Br 0.0655 0.2527 0.8246 (multiplicity 8)
Br 0.2459 0.5000 0.3755 (multiplicity 4)

2.
Entry from the Alexandria database: a relaxed structure of As2IrBr (GGA-PBE).

Computed properties:
The raw total energy comes out at -4.5689 eV per atom.

a b c (Å): 3.0197 4.7544 10.9735
angles (deg): 90.00 90.00 90.00
Space group Immm (No. 71)
Asymmetric unit:
As 0.0000 0.0000 0.1931 (multiplicity 4)
Ir 0.0000 0.5000 0.5000 (multiplicity 2)
Br 0.0000 0.5000 0.0000 (multiplicity 2)

3.
Entry from the Alexandria database: a relaxed structure of MnSiPH (GGA-PBE).

Computed properties:
The raw total energy comes out at -5.9021 eV per atom.

a b c (Å): 4.8574 2.8130 7.8792
angles (deg): 90.00 102.55 90.00
Space group Cm (No. 8)
Asymmetric unit:
Mn 0.0000 0.0000 0.0000 (multiplicity 2)
Si 0.4105 0.0000 0.2179 (multiplicity 2)
P 0.2583 0.0000 0.7881 (multiplicity 2)
H 0.4798 0.0000 0.4130 (multiplicity 2)

4.
Entry from the Alexandria database: a relaxed structure of YAs2Pb (GGA-PBE).

Computed properties:
The value obtained for the formation energy is -0.572 eV/atom.

a b c (Å): 4.2063 4.2063 21.4364
angles (deg): 90.00 90.00 120.00
Space group R3m (No. 160, hexagonal axes)
Asymmetric unit:
Y 0.0000 0.0000 0.0000 (multiplicity 3)
As 0.0000 0.0000 0.4077 (multiplicity 3)
As 0.0000 0.0000 0.5915 (multiplicity 3)
Pb 0.0000 0.0000 0.8293 (multiplicity 3)

5.
Entry from the Alexandria database: a relaxed structure of Sc4Sb2PSe (GGA-PBE).

Computed properties:
The raw total energy comes out at -6.5548 eV per atom.

a b c (Å): 6.8578 3.9563 6.9763
angles (deg): 90.00 108.98 90.00
Space group P2/m (No. 10)
Asymmetric unit:
Sc 0.2323 0.0000 0.2236 (multiplicity 2)
Sc 0.2462 0.5000 0.7705 (multiplicity 2)
Sb 0.0000 0.0000 0.5000 (multiplicity 1)
Sb 0.5000 0.5000 0.5000 (multiplicity 1)
P 0.0000 0.5000 0.0000 (multiplicity 1)
Se 0.5000 0.0000 0.0000 (multiplicity 1)

6.
Entry from the Alexandria database: a relaxed structure of Rb2ScCl6F (GGA-PBE).

Computed properties:
The raw total energy comes out at -3.7048 eV per atom.

a b c (Å): 7.9789 7.9789 9.0939
angles (deg): 90.00 90.00 90.00
Space group I4/mmm (No. 139)
Asymmetric unit:
Rb 0.0000 0.5000 0.2500 (multiplicity 4)
Sc 0.0000 0.0000 0.0000 (multiplicity 2)
Cl 0.0000 0.0000 0.2821 (multiplicity 4)
Cl 0.2174 0.2174 0.0000 (multiplicity 8)
F 0.0000 0.0000 0.5000 (multiplicity 2)

7.
Entry from the Alexandria database: a relaxed structure of PmP2RuRh (GGA-PBE).

Computed properties:
The value obtained for the formation energy is -1.043 eV/atom.

a b c (Å): 4.0285 4.0285 9.9459
angles (deg): 90.00 90.00 90.00
Space group I-4m2 (No. 119)
Asymmetric unit:
Pm 0.0000 0.0000 0.0000 (multiplicity 2)
P 0.0000 0.0000 0.3802 (multiplicity 4)
Ru 0.0000 0.5000 0.7500 (multiplicity 2)
Rh 0.0000 0.5000 0.2500 (multiplicity 2)

8.
Entry from the Alexandria database: a relaxed structure of BaZnGe2Pt (GGA-PBE).

Computed properties:
The value obtained for the formation energy is -0.540 eV/atom.

a b c (Å): 4.4645 4.4645 11.0561
angles (deg): 90.00 90.00 90.00
Space group I-4m2 (No. 119)
Asymmetric unit:
Ba 0.0000 0.0000 0.0000 (multiplicity 2)
Zn 0.0000 0.5000 0.2500 (multiplicity 2)
Ge 0.0000 0.0000 0.3689 (multiplicity 4)
Pt 0.0000 0.5000 0.7500 (multiplicity 2)

9.
Entry from the Alexandria database: a relaxed structure of Tb2YHf (GGA-PBE).

Computed properties:
The value obtained for the formation energy is 0.151 eV/atom.

a b c (Å): 4.8686 4.8686 4.8467
angles (deg): 90.00 90.00 90.00
Space group P4/mmm (No. 123)
Asymmetric unit:
Tb 0.0000 0.5000 0.0000 (multiplicity 2)
Y 0.0000 0.0000 0.5000 (multiplicity 1)
Hf 0.5000 0.5000 0.5000 (multiplicity 1)

10.
Entry from the Alexandria database: a relaxed structure of Os2Pd2W (GGA-PBE).

Computed properties:
The value obtained for the formation energy is 0.676 eV/atom.

a b c (Å): 3.5796 3.5796 12.7840
angles (deg): 90.00 90.00 90.00
Space group I4/mmm (No. 139)
Asymmetric unit:
Os 0.0000 0.0000 0.0933 (multiplicity 4)
Pd 0.0000 0.5000 0.2500 (multiplicity 4)
W 0.0000 0.0000 0.5000 (multiplicity 2)

11.
Entry from the Alexandria database: a relaxed structure of PmZn2Ni4Ge (GGA-PBE).

Computed properties:
The value obtained for the formation energy is -0.282 eV/atom.

a b c (Å): 4.0825 4.0825 25.0042
angles (deg): 90.00 90.00 120.00
Space group R-3m (No. 166, hexagonal axes)
Asymmetric unit:
Pm 0.0000 0.0000 0.0000 (multiplicity 3)
Zn 0.0000 0.0000 0.2427 (multiplicity 6)
Ni 0.0000 0.0000 0.1340 (multiplicity 6)
Ni 0.0000 0.0000 0.4068 (multiplicity 6)
Ge 0.0000 0.0000 0.5000 (multiplicity 3)

12.
Entry from the Alexandria database: a relaxed structure of CsBeAlGe2 (GGA-PBE).

Computed properties:
The value obtained for the formation energy is 0.540 eV/atom.

a b c (Å): 4.8668 4.8668 5.0886
angles (deg): 90.00 90.00 90.00
Space group P4/mmm (No. 123)
Asymmetric unit:
Cs 0.0000 0.0000 0.0000 (multiplicity 1)
Be 0.5000 0.5000 0.5000 (multiplicity 1)
Al 0.5000 0.5000 0.0000 (multiplicity 1)
Ge 0.0000 0.5000 0.5000 (multiplicity 2)